1 | Rb3AgHg | PBE | optimized geometry

Computed properties:
**Total moment**: 0.000 μB per atom
**Crystal system**: triclinic

a = 5.1903 Å, b = 9.5863 Å, c = 10.4028 Å
α = 90.26°, β = 90.02°, γ = 105.68°
Last column: nearest neighbours and their distance in Å.
Space group P-1 (No. 2)
Unique sites:
Rb  0.0578  0.1161  0.3193 (multiplicity 2)  4 Ag 3.60-3.78, 1 Hg 3.95
Rb  0.2291  0.4586  0.6715 (multiplicity 2)  3 Hg 3.99-4.01, 3 Ag 4.05-4.36, 2 Rb 4.34
Rb  0.4017  0.8058  0.0915 (multiplicity 2)  3 Hg 3.55-3.68, 1 Ag 3.68
Ag  0.4267  0.8537  0.4427 (multiplicity 2)  1 Ag 2.95
Hg  0.2115  0.4227  0.0557 (multiplicity 2)  2 Hg 3.18, 1 Rb 3.55


2 | Rb3AgHg | PBE | optimized geometry

Computed properties:
**Total moment**: 0.000 μB per atom
**Crystal system**: cubic

a = 6.8239 Å, b = 6.8239 Å, c = 6.8239 Å
α = 90.00°, β = 90.00°, γ = 90.00°
Last column: nearest neighbours and their distance in Å.
Space group Pm-3m (No. 221)
Unique sites:
Rb  0.0000  0.0000  0.5000 (multiplicity 3)  2 Ag 3.41
Ag  0.0000  0.0000  0.0000 (multiplicity 1)  6 Rb 3.41
Hg  0.5000  0.5000  0.5000 (multiplicity 1)  12 Rb 4.83


3 | Rb3AgHg | PBE | optimized geometry

Computed properties:
**Total moment**: 0.000 μB per atom
**Crystal system**: orthorhombic

a = 5.3613 Å, b = 11.3592 Å, c = 8.0460 Å
α = 90.00°, β = 90.00°, γ = 90.00°
Last column: nearest neighbours and their distance in Å.
Space group Pmmn (No. 59, origin choice 2)
Unique sites:
Rb  0.2500  0.0504  0.2492 (multiplicity 4)  2 Ag 3.77, 2 Hg 3.82
Rb  0.2500  0.2500  0.7638 (multiplicity 2)  2 Ag 3.68, 2 Hg 3.75
Ag  0.2500  0.7500  0.9228 (multiplicity 2)  1 Hg 2.90
Hg  0.2500  0.7500  0.5630 (multiplicity 2)  1 Ag 2.90


Bottom line: 3, by a margin of 0.021 eV/atom.


1 | Rb4AgHg2 | PBE | optimized geometry

Computed properties:
**Total moment**: 0.000 μB per atom
**Crystal system**: triclinic

a = 7.9782 Å, b = 8.9796 Å, c = 11.1318 Å
α = 71.40°, β = 69.17°, γ = 63.79°
Last column: nearest neighbours and their distance in Å.
Space group P-1 (No. 2)
Unique sites:
Rb  0.0002  0.2408  0.2603 (multiplicity 2)  2 Ag 3.64-3.77, 3 Hg 3.79-4.06, 2 Rb 3.97-4.01
Rb  0.0587  0.7453  0.1370 (multiplicity 2)  1 Ag 3.54, 2 Hg 3.81-3.91
Rb  0.4355  0.7617  0.3696 (multiplicity 2)  2 Hg 3.71-3.95, 1 Ag 3.81
Rb  0.4986  0.2427  0.2577 (multiplicity 2)  2 Ag 3.65-3.78, 3 Hg 3.79-4.08, 2 Rb 3.97-4.01
Ag  0.1613  0.1248  0.5565 (multiplicity 2)  1 Hg 2.97
Hg  0.0000  0.5000  0.5000 (multiplicity 1)  2 Ag 2.97
Hg  0.3294  0.3851  0.9470 (multiplicity 2)  1 Hg 3.05
Hg  0.5000  0.0000  0.0000 (multiplicity 1)  2 Hg 3.05


2 | Rb4AgHg2 | PBE | optimized geometry

Computed properties:
**Total moment**: 0.000 μB per atom
**Crystal system**: tetragonal

a = 6.5709 Å, b = 6.5709 Å, c = 20.2669 Å
α = 90.00°, β = 90.00°, γ = 90.00°
Last column: nearest neighbours and their distance in Å.
Space group I4/mmm (No. 139)
Unique sites:
Rb  0.0000  0.0000  0.1818 (multiplicity 4)  1 Hg 3.62
Rb  0.0000  0.5000  0.0000 (multiplicity 4)  2 Ag 3.29
Ag  0.0000  0.0000  0.5000 (multiplicity 2)  2 Hg 2.82
Hg  0.0000  0.0000  0.3607 (multiplicity 4)  1 Ag 2.82


Bottom line: 1, by a margin of 0.068 eV/atom.


1 | RbAgHg2 | PBE | optimized geometry

Computed properties:
**Total moment**: 0.000 μB per atom
**Crystal system**: tetragonal

a = 3.8403 Å, b = 3.8403 Å, c = 7.9982 Å
α = 90.00°, β = 90.00°, γ = 90.00°
Last column: nearest neighbours and their distance in Å.
Space group P4/mmm (No. 123)
Unique sites:
Rb  0.0000  0.0000  0.0000 (multiplicity 1)  8 Hg 3.67, 4 Rb 3.84, 2 Ag 4.00
Ag  0.0000  0.0000  0.5000 (multiplicity 1)  8 Hg 3.12
Hg  0.5000  0.5000  0.3080 (multiplicity 2)  1 Hg 3.07, 4 Ag 3.12


2 | RbAgHg2 | PBE | optimized geometry

Computed properties:
**Total moment**: 0.000 μB per atom
**Crystal system**: trigonal

a = 5.0229 Å, b = 5.0229 Å, c = 18.5570 Å
α = 90.00°, β = 90.00°, γ = 120.00°
Last column: nearest neighbours and their distance in Å.
Space group R3m (No. 160, hexagonal axes)
Unique sites:
Rb  0.0000  0.0000  0.0000 (multiplicity 3)  4 Ag 3.61-3.88, 7 Hg 3.73-3.80
Ag  0.0000  0.0000  0.8054 (multiplicity 3)  6 Hg 2.90-3.12
Hg  0.0000  0.0000  0.2010 (multiplicity 3)  3 Ag 3.12, 3 Hg 3.19
Hg  0.0000  0.0000  0.4630 (multiplicity 3)  3 Ag 2.90, 3 Hg 3.19


3 | RbAgHg2 | PBE | optimized geometry

Computed properties:
**Total moment**: 0.000 μB per atom
**Crystal system**: trigonal

a = 5.0241 Å, b = 5.0241 Å, c = 18.1913 Å
α = 90.00°, β = 90.00°, γ = 120.00°
Last column: nearest neighbours and their distance in Å.
Space group R-3m (No. 166, hexagonal axes)
Unique sites:
Rb  0.0000  0.0000  0.0000 (multiplicity 3)  8 Hg 3.72-3.73
Ag  0.0000  0.0000  0.5000 (multiplicity 3)  6 Hg 2.98
Hg  0.0000  0.0000  0.2051 (multiplicity 6)  3 Ag 2.98, 3 Hg 3.22


Bottom line: 3, by a margin of 0.007 eV/atom.


1 | RbAgHg2 | PBE | optimized geometry

Computed properties:
**Total moment**: 0.000 μB per atom
**Crystal system**: tetragonal

a = 5.7268 Å, b = 5.7268 Å, c = 19.3029 Å
α = 90.00°, β = 90.00°, γ = 90.00°
Last column: nearest neighbours and their distance in Å.
Space group I-42d (No. 122)
Unique sites:
Rb  0.0000  0.0000  0.0000 (multiplicity 4)  4 Hg 3.71, 4 Ag 4.05
Ag  0.0000  0.0000  0.5000 (multiplicity 4)  4 Hg 2.84
Hg  0.0760  0.2500  0.6250 (multiplicity 8)  2 Ag 2.84, 2 Hg 2.99


2 | RbAgHg2 | PBE | optimized geometry

Computed properties:
**Total moment**: 0.000 μB per atom
**Crystal system**: cubic

a = 7.8747 Å, b = 7.8747 Å, c = 7.8747 Å
α = 90.00°, β = 90.00°, γ = 90.00°
Last column: nearest neighbours and their distance in Å.
Space group Fm-3m (No. 225)
Unique sites:
Rb  0.0000  0.0000  0.0000 (multiplicity 4)  8 Hg 3.41
Ag  0.0000  0.0000  0.5000 (multiplicity 4)  8 Hg 3.41
Hg  0.2500  0.2500  0.2500 (multiplicity 8)  4 Rb 3.41, 4 Ag 3.41


Bottom line: 1, by a margin of 0.030 eV/atom.


1 | RbAgHg | PBE | optimized geometry

Computed properties:
**Total moment**: 0.000 μB per atom
**Crystal system**: hexagonal

a = 5.0322 Å, b = 5.0322 Å, c = 4.8070 Å
α = 90.00°, β = 90.00°, γ = 120.00°
Last column: nearest neighbours and their distance in Å.
Space group P-6m2 (No. 187)
Unique sites:
Rb  0.0000  0.0000  0.0000 (multiplicity 1)  6 Hg 3.77, 6 Ag 3.77
Ag  0.3333  0.6667  0.5000 (multiplicity 1)  3 Hg 2.91
Hg  0.6667  0.3333  0.5000 (multiplicity 1)  3 Ag 2.91


2 | RbAgHg | PBE | optimized geometry

Computed properties:
**Total moment**: 0.000 μB per atom
**Crystal system**: cubic

a = 7.7267 Å, b = 7.7267 Å, c = 7.7267 Å
α = 90.00°, β = 90.00°, γ = 90.00°
Last column: nearest neighbours and their distance in Å.
Space group F-43m (No. 216)
Unique sites:
Rb  0.0000  0.0000  0.0000 (multiplicity 4)  4 Ag 3.35
Ag  0.2500  0.2500  0.2500 (multiplicity 4)  4 Hg 3.35, 4 Rb 3.35
Hg  0.0000  0.0000  0.5000 (multiplicity 4)  4 Ag 3.35


3 | RbAgHg | PBE | optimized geometry

Computed properties:
**Total moment**: 0.000 μB per atom
**Crystal system**: tetragonal

a = 3.9653 Å, b = 3.9653 Å, c = 12.4105 Å
α = 90.00°, β = 90.00°, γ = 90.00°
Last column: nearest neighbours and their distance in Å.
Space group I4mm (No. 107)
Unique sites:
Rb  0.0000  0.0000  0.0000 (multiplicity 2)  5 Ag 3.61-3.82, 5 Hg 3.66-3.78, 4 Rb 3.97
Ag  0.0000  0.0000  0.2912 (multiplicity 2)  4 Hg 3.00
Hg  0.0000  0.0000  0.7048 (multiplicity 2)  4 Ag 3.00


4 | RbAgHg | PBE | optimized geometry

Computed properties:
**Total moment**: 0.000 μB per atom
**Crystal system**: triclinic

a = 5.4632 Å, b = 7.1073 Å, c = 7.1358 Å
α = 63.03°, β = 67.57°, γ = 67.47°
Last column: nearest neighbours and their distance in Å.
Space group P-1 (No. 2)
Unique sites:
Rb  0.0000  0.0000  0.0000 (multiplicity 1)  4 Ag 3.57, 6 Hg 3.93-3.96
Rb  0.5000  0.5000  0.5000 (multiplicity 1)  4 Ag 3.55-3.56, 6 Hg 3.95-3.97
Ag  0.0000  0.0000  0.5000 (multiplicity 1)  2 Ag 2.73, 2 Hg 3.02
Ag  0.5000  0.0000  0.5000 (multiplicity 1)  2 Ag 2.73, 2 Hg 3.02
Hg  0.2509  0.3607  0.1375 (multiplicity 2)  2 Ag 3.02


Bottom line: 1, by a margin of 0.026 eV/atom.


1 | RbAg2SnHg | PBE | optimized geometry

Computed properties:
**Total moment**: 0.000 μB per atom
**Crystal system**: tetragonal

a = 5.3937 Å, b = 5.3937 Å, c = 5.7656 Å
α = 90.00°, β = 90.00°, γ = 90.00°
Last column: nearest neighbours and their distance in Å.
Space group P4/mmm (No. 123)
Unique sites:
Rb  0.0000  0.0000  0.0000 (multiplicity 1)  4 Hg 3.81, 8 Ag 3.95
Ag  0.0000  0.5000  0.5000 (multiplicity 2)  2 Sn 2.70
Sn  0.5000  0.5000  0.5000 (multiplicity 1)  4 Ag 2.70, 2 Hg 2.88
Hg  0.5000  0.5000  0.0000 (multiplicity 1)  2 Sn 2.88


2 | RbAg2SnHg | PBE | optimized geometry

Computed properties:
**Total moment**: 0.000 μB per atom
**Crystal system**: tetragonal

a = 5.3798 Å, b = 5.3798 Å, c = 6.1212 Å
α = 90.00°, β = 90.00°, γ = 90.00°
Last column: nearest neighbours and their distance in Å.
Space group P4/mmm (No. 123)
Unique sites:
Rb  0.0000  0.0000  0.0000 (multiplicity 1)  2 Hg 3.06
Ag  0.0000  0.5000  0.5000 (multiplicity 2)  2 Hg 2.69
Sn  0.5000  0.5000  0.0000 (multiplicity 1)  4 Rb 3.80, 8 Ag 4.07
Hg  0.0000  0.0000  0.5000 (multiplicity 1)  4 Ag 2.69


Bottom line: 1, by a margin of 0.480 eV/atom.


1 | RbTlAgHg2 | PBE | optimized geometry

Computed properties:
**Total moment**: 0.000 μB per atom
**Crystal system**: tetragonal

a = 5.8660 Å, b = 5.8660 Å, c = 5.5294 Å
α = 90.00°, β = 90.00°, γ = 90.00°
Last column: nearest neighbours and their distance in Å.
Space group P4/mmm (No. 123)
Unique sites:
Rb  0.0000  0.0000  0.0000 (multiplicity 1)  8 Hg 4.03, 4 Ag 4.15
Tl  0.5000  0.5000  0.5000 (multiplicity 1)  2 Ag 2.76, 4 Hg 2.93
Ag  0.5000  0.5000  0.0000 (multiplicity 1)  2 Tl 2.76
Hg  0.0000  0.5000  0.5000 (multiplicity 2)  2 Tl 2.93


2 | RbTlAgHg2 | PBE | optimized geometry

Computed properties:
**Total moment**: 0.000 μB per atom
**Crystal system**: tetragonal

a = 5.5767 Å, b = 5.5767 Å, c = 5.6434 Å
α = 90.00°, β = 90.00°, γ = 90.00°
Last column: nearest neighbours and their distance in Å.
Space group P4/mmm (No. 123)
Unique sites:
Rb  0.0000  0.0000  0.0000 (multiplicity 1)  4 Tl 3.94, 8 Hg 3.97
Tl  0.5000  0.5000  0.0000 (multiplicity 1)  2 Ag 2.82
Ag  0.5000  0.5000  0.5000 (multiplicity 1)  4 Hg 2.79, 2 Tl 2.82
Hg  0.0000  0.5000  0.5000 (multiplicity 2)  2 Ag 2.79


Bottom line: 2, by a margin of 0.050 eV/atom.


1 | AgHgRh | PBE | optimized geometry

Computed properties:
**Total moment**: 0.000 μB per atom
**Crystal system**: trigonal

a = 2.9568 Å, b = 2.9568 Å, c = 6.9970 Å
α = 90.00°, β = 90.00°, γ = 120.00°
Last column: nearest neighbours and their distance in Å.
Space group P3m1 (No. 156)
Unique sites:
Ag  0.0000  0.0000  0.0000 (multiplicity 1)  3 Rh 2.83, 6 Ag 2.96, 3 Hg 3.00
Hg  0.6667  0.3333  0.3529 (multiplicity 1)  3 Rh 2.84, 6 Hg 2.96, 3 Ag 3.00
Rh  0.3333  0.6667  0.6775 (multiplicity 1)  3 Ag 2.83, 3 Hg 2.84, 6 Rh 2.96


2 | AgHgRh | PBE | optimized geometry

Computed properties:
**Total moment**: 0.000 μB per atom
**Crystal system**: orthorhombic

a = 3.0342 Å, b = 3.9746 Å, c = 8.7437 Å
α = 90.00°, β = 90.00°, γ = 90.00°
Last column: nearest neighbours and their distance in Å.
Space group Imm2 (No. 44)
Unique sites:
Ag  0.0000  0.0000  0.0000 (multiplicity 2)  5 Hg 2.85-2.93, 5 Rh 2.88-2.93, 2 Ag 3.03
Hg  0.0000  0.0000  0.3258 (multiplicity 2)  5 Ag 2.85-2.93, 5 Rh 2.87-2.96, 2 Hg 3.03
Rh  0.0000  0.0000  0.6646 (multiplicity 2)  5 Hg 2.87-2.96, 5 Ag 2.88-2.93, 2 Rh 3.03


Bottom line: 2, by a margin of 0.028 eV/atom.


1 | Ag2HgRh2 | PBE | optimized geometry

Computed properties:
**Total moment**: 0.361 μB per atom
**Crystal system**: tetragonal

a = 6.9223 Å, b = 6.9223 Å, c = 3.8549 Å
α = 90.00°, β = 90.00°, γ = 90.00°
Last column: nearest neighbours and their distance in Å.
Space group P4/mbm (No. 127)
Unique sites:
Ag  0.1704  0.3296  0.0000 (multiplicity 4)  6 Rh 2.77-2.83
Hg  0.0000  0.0000  0.5000 (multiplicity 2)  4 Rh 2.73
Rh  0.1267  0.6267  0.5000 (multiplicity 4)  1 Rh 2.48, 2 Hg 2.73, 2 Ag 2.77


2 | Ag2HgRh2 | PBE | optimized geometry

Computed properties:
**Total moment**: 0.131 μB per atom
**Crystal system**: tetragonal

a = 7.8637 Å, b = 7.8637 Å, c = 2.8783 Å
α = 90.00°, β = 90.00°, γ = 90.00°
Last column: nearest neighbours and their distance in Å.
Space group P4/mbm (No. 127)
Unique sites:
Ag  0.1280  0.3720  0.0000 (multiplicity 4)  6 Rh 2.68-2.76, 3 Ag 2.85-2.88
Hg  0.0000  0.0000  0.0000 (multiplicity 2)  2 Hg 2.88, 4 Ag 3.09
Rh  0.1688  0.6688  0.5000 (multiplicity 4)  6 Ag 2.68-2.76, 2 Rh 2.88


Bottom line: 1, by a margin of 0.099 eV/atom.


1 | AgHgS | PBE | optimized geometry

Computed properties:
**Total moment**: 0.000 μB per atom
**Crystal system**: triclinic

a = 4.5505 Å, b = 6.4751 Å, c = 6.5291 Å
α = 119.65°, β = 94.75°, γ = 103.03°
Last column: nearest neighbours and their distance in Å.
Space group P-1 (No. 2)
Unique sites:
Ag  0.1927  0.4934  0.2004 (multiplicity 2)  2 S 2.47
Hg  0.0257  0.0435  0.2303 (multiplicity 2)  2 S 2.54-2.77, 1 Hg 2.75
S  0.2363  0.3290  0.6862 (multiplicity 2)  2 Ag 2.47, 1 Hg 2.54


2 | AgHgS | PBE | optimized geometry

Computed properties:
**Total moment**: 0.000 μB per atom
**Crystal system**: triclinic

a = 4.5676 Å, b = 4.5909 Å, c = 7.6991 Å
α = 102.48°, β = 102.78°, γ = 91.96°
Last column: nearest neighbours and their distance in Å.
Space group P-1 (No. 2)
Unique sites:
Ag  0.0000  0.0000  0.0000 (multiplicity 1)  2 S 2.40
Ag  0.5000  0.5000  0.0000 (multiplicity 1)  2 S 2.40
Hg  0.1353  0.6353  0.4004 (multiplicity 2)  1 S 2.46, 1 Hg 2.64
S  0.4063  0.9035  0.2317 (multiplicity 2)  2 Ag 2.40, 1 Hg 2.46


Bottom line: 2, by a margin of 0.080 eV/atom.


1 | AgHgS | PBE | optimized geometry

Computed properties:
**Total moment**: 0.000 μB per atom
**Crystal system**: triclinic

a = 4.5058 Å, b = 6.3162 Å, c = 6.3194 Å
α = 62.48°, β = 69.71°, γ = 69.44°
Last column: nearest neighbours and their distance in Å.
Space group P1 (No. 1)
Unique sites:
Ag  0.0000  0.0000  0.0000 (multiplicity 1)  1 S 2.68, 2 Ag 2.82, 4 Hg 2.89-2.99
Ag  0.3384  0.0941  0.2362 (multiplicity 1)  3 S 2.54-2.60, 2 Ag 2.82
Hg  0.5144  0.2816  0.6848 (multiplicity 1)  2 S 2.53-2.65
Hg  0.6752  0.7526  0.8904 (multiplicity 1)  3 S 2.58-2.74, 1 Hg 2.88
S  0.3116  0.7241  0.6404 (multiplicity 1)  3 Hg 2.53-2.74, 1 Ag 2.54
S  0.7340  0.3147  0.2257 (multiplicity 1)  2 Hg 2.58-2.65, 3 Ag 2.59-2.68


2 | AgHgS | PBE | optimized geometry

Computed properties:
**Total moment**: 0.000 μB per atom
**Crystal system**: monoclinic

a = 10.0123 Å, b = 6.7514 Å, c = 3.9701 Å
α = 90.00°, β = 95.53°, γ = 90.00°
Last column: nearest neighbours and their distance in Å.
Space group C2/m (No. 12)
Unique sites:
Ag  0.0000  0.2188  0.0000 (multiplicity 4)  2 S 2.58
Hg  0.1637  0.0000  0.5484 (multiplicity 4)  2 S 2.60-2.61
S  0.1672  0.5000  0.9095 (multiplicity 4)  2 Ag 2.58, 2 Hg 2.60-2.61


Bottom line: 1, by a margin of 0.011 eV/atom.